VASP calculation (GGA-PBE) on a relaxed NiMo2Cl crystal.

```
NiMo2Cl
1.0
-1.471 2.222 4.511
1.471 -2.222 4.511
1.471 2.222 -4.511
Ni Mo Cl
1 2 1
Direct
0.000 0.000 0.000
0.271 0.771 0.500
0.729 0.229 0.500
0.500 0.500 0.000
```

Output
- Spin magnetization: 0.00 μB per cell
- Energy relative to the elements, uncorrected: 0.64 eV/atom
- E above lowest polymorph: 166 kJ/mol of formula units

---

VASP calculation (GGA-PBE) on a relaxed PrHo2Ga crystal.

```
PrHo2Ga
1.0
3.541 0.000 0.000
0.000 3.541 0.000
0.000 0.000 8.984
Pr Ho Ga
1 2 1
Direct
0.000 0.000 0.000
0.500 0.500 0.297
0.500 0.500 0.703
0.000 0.000 0.500
```

Output
- Spin magnetization: 0.00 μB per cell
- E above lowest polymorph: 0 kJ/mol of formula units

---

VASP calculation (GGA-PBE) on a relaxed ZrMoAu2 crystal.

```
ZrMoAu2
1.0
2.898 0.000 0.000
0.000 2.898 0.000
0.000 0.000 8.734
Zr Mo Au
1 1 2
Direct
0.000 0.000 0.000
0.500 0.500 0.739
0.000 0.000 0.511
0.500 0.500 0.252
```

Output
- Spin magnetization: 0.01 μB per cell
- E above lowest polymorph: 40 kJ/mol of formula units

---

VASP calculation (GGA-PBE) on a relaxed Na2TeSeO6 crystal.

```
Na2TeSeO6
1.0
5.477 0.000 0.000
0.000 5.477 0.000
0.000 0.000 4.829
Na Te Se O
2 1 1 6
Direct
0.000 0.500 0.000
0.500 0.000 0.000
0.000 0.000 0.573
0.500 0.500 0.584
0.000 0.000 0.191
0.242 0.242 0.685
0.242 0.758 0.685
0.500 0.500 0.240
0.758 0.242 0.685
0.758 0.758 0.685
```

Output
- Spin magnetization: 0.00 μB per cell
- Energy relative to the elements, uncorrected: -1.06 eV/atom

---

VASP calculation (GGA-PBE) on a relaxed Sr3NiAs crystal.

```
Sr3NiAs
1.0
5.505 0.000 0.000
0.000 5.505 0.000
0.000 0.000 5.505
Sr Ni As
3 1 1
Direct
0.000 0.000 0.500
0.000 0.500 0.000
0.500 0.000 0.000
0.000 0.000 0.000
0.500 0.500 0.500
```

Output
- Spin magnetization: 0.00 μB per cell
- E above lowest polymorph: 0 kJ/mol of formula units

---

VASP calculation (GGA-PBE) on a relaxed LuAlPdPt crystal.

```
LuAlPdPt
1.0
0.000 3.264 3.264
3.264 0.000 3.264
3.264 3.264 0.000
Lu Al Pd Pt
1 1 1 1
Direct
0.000 0.000 0.000
0.500 0.500 0.500
0.250 0.250 0.250
0.750 0.750 0.750
```

Output
- Spin magnetization: 0.00 μB per cell
- Energy: -5.911 eV per atom